Entry 1:
Tl3Cd5, relaxed, DFT GGA-PBE; formation energy = 0.03 eV per atom; distance to the lowest polymorph of the same formula = 0 meV/atom; space group = P4/mmm
1.0
3.287 0.000 0.000
0.000 3.287 0.000
0.000 0.000 19.108
Tl Cd
3 5
Direct
0.000 0.000 0.000
0.500 0.500 0.148
0.500 0.500 0.852
0.000 0.000 0.276
0.000 0.000 0.500
0.000 0.000 0.724
0.500 0.500 0.388
0.500 0.500 0.612

Entry 2:
La6Pr3Nd, relaxed, DFT GGA-PBE; formation energy = 0.18 eV per atom; distance to the lowest polymorph of the same formula = 46 meV/atom; space group = R3
1.0
5.101 2.945 4.115
-5.101 2.945 4.115
0.000 -5.890 4.115
La Pr Nd
6 3 1
Direct
0.014 0.660 0.326
0.160 0.515 0.825
0.326 0.014 0.660
0.515 0.825 0.160
0.660 0.326 0.014
0.825 0.160 0.515
0.079 0.079 0.079
0.324 0.324 0.324
0.823 0.823 0.823
0.579 0.579 0.579

Entry 3:
TlRe2Hg, relaxed, DFT GGA-PBE; formation energy = 0.45 eV per atom; distance to the lowest polymorph of the same formula = 0 meV/atom; space group = Pm
1.0
3.039 0.000 0.000
0.000 3.014 0.000
-1.502 0.000 8.808
Tl Re Hg
1 2 1
Direct
0.000 0.000 0.000
0.205 0.000 0.423
0.626 0.500 0.261
0.828 0.500 0.673

Entry 4:
CaY4Ho2Er, relaxed, DFT GGA-PBE; formation energy = 0.45 eV per atom; space group = C2/c
1.0
6.872 -6.687 0.000
6.872 6.687 0.000
-3.383 0.000 5.929
Ca Y Ho Er
2 8 4 2
Direct
0.000 0.000 0.000
0.000 0.000 0.500
0.254 0.746 0.000
0.254 0.746 0.500
0.266 0.267 0.519
0.267 0.266 0.019
0.733 0.734 0.981
0.734 0.733 0.481
0.746 0.254 0.000
0.746 0.254 0.500
0.000 0.500 0.000
0.500 0.000 0.500
0.500 0.500 0.000
0.500 0.500 0.500
0.000 0.500 0.500
0.500 0.000 0.000

Entry 5:
Na2ReGeRh, relaxed, DFT GGA-PBE; formation energy = 1.56 eV per atom; space group = P4/mmm
1.0
5.414 0.000 0.000
0.000 5.414 0.000
0.000 0.000 4.712
Na Re Ge Rh
2 1 1 1
Direct
0.000 0.500 0.000
0.500 0.000 0.000
0.000 0.000 0.000
0.000 0.000 0.500
0.500 0.500 0.500

Entry 6:
Ca3Si, relaxed, DFT GGA-PBE; distance to the lowest polymorph of the same formula = 252 meV/atom; formation energy (no corrections) = -0.1 eV per formula unit; space group = R-3m
1.0
1.919 1.108 10.760
-1.919 1.108 10.760
0.000 -2.215 10.760
Ca Si
3 1
Direct
0.000 0.000 0.000
0.229 0.229 0.229
0.771 0.771 0.771
0.500 0.500 0.500